(P)
The following is a PBE calculation of a relaxed structure of CuSb3H, from the Alexandria database.

Structure (CIF):
```
data_CuSb3H
_chemical_formula_sum 'Cu1 Sb3 H1'
_cell_length_a 5.098
_cell_length_b 5.098
_cell_length_c 5.098
_cell_angle_alpha 90.00
_cell_angle_beta 90.00
_cell_angle_gamma 90.00
_space_group_name_H-M_alt 'P 1'
_space_group_IT_number 1
loop_
_space_group_symop_operation_xyz
'x,y,z'
loop_
_atom_site_label
_atom_site_fract_x
_atom_site_fract_y
_atom_site_fract_z
Sb1 0.000 0.500 0.000
Sb2 0.000 0.000 0.500
Sb3 0.500 0.000 0.000
Cu1 0.000 0.000 0.000
H1 0.500 0.500 0.500
```

---

(Q)
The following is a PBE calculation of a relaxed structure of CuSb3H, from the Alexandria database.

Structure (CIF):
```
data_CuSb3H
_chemical_formula_sum 'Cu1 Sb3 H1'
_cell_length_a 4.653
_cell_length_b 4.653
_cell_length_c 4.653
_cell_angle_alpha 90.00
_cell_angle_beta 90.00
_cell_angle_gamma 90.00
_space_group_name_H-M_alt 'P 1'
_space_group_IT_number 1
loop_
_space_group_symop_operation_xyz
'x,y,z'
loop_
_atom_site_label
_atom_site_fract_x
_atom_site_fract_y
_atom_site_fract_z
Sb1 0.000 0.500 0.000
Sb2 0.000 0.000 0.500
Sb3 0.500 0.000 0.000
Cu1 0.500 0.500 0.500
H1 0.000 0.000 0.000
```

---

(Q) has the most favorable energy; the next structure is 29.5 kJ/mol of atoms above.

---

(P)
The following is a PBE calculation of a relaxed structure of CuSbTeH, from the Alexandria database.

Structure (CIF):
```
data_CuSbTeH
_chemical_formula_sum 'Cu1 Sb1 Te1 H1'
_cell_length_a 4.002
_cell_length_b 4.385
_cell_length_c 6.133
_cell_angle_alpha 106.28
_cell_angle_beta 90.23
_cell_angle_gamma 117.12
_space_group_name_H-M_alt 'P 1'
_space_group_IT_number 1
loop_
_space_group_symop_operation_xyz
'x,y,z'
loop_
_atom_site_label
_atom_site_fract_x
_atom_site_fract_y
_atom_site_fract_z
Cu1 0.317 0.946 0.220
Sb1 0.874 0.057 0.520
Te1 0.958 0.229 0.065
H1 0.112 0.529 0.626
```

---

(Q)
The following is a PBE calculation of a relaxed structure of CuSbTeH, from the Alexandria database.

Structure (CIF):
```
data_CuSbTeH
_chemical_formula_sum 'Cu1 Sb1 Te1 H1'
_cell_length_a 3.446
_cell_length_b 4.460
_cell_length_c 6.181
_cell_angle_alpha 95.08
_cell_angle_beta 106.77
_cell_angle_gamma 113.40
_space_group_name_H-M_alt 'P 1'
_space_group_IT_number 1
loop_
_space_group_symop_operation_xyz
'x,y,z'
loop_
_atom_site_label
_atom_site_fract_x
_atom_site_fract_y
_atom_site_fract_z
Cu1 0.265 0.480 0.627
Sb1 0.781 0.766 0.375
Te1 0.280 0.189 0.968
H1 0.744 0.466 0.600
```

---

(R)
The following is a PBE calculation of a relaxed structure of CuSbTeH, from the Alexandria database.

Structure (CIF):
```
data_CuSbTeH
_chemical_formula_sum 'Cu2 Sb2 Te2 H2'
_cell_length_a 5.805
_cell_length_b 4.024
_cell_length_c 7.479
_cell_angle_alpha 90.00
_cell_angle_beta 105.23
_cell_angle_gamma 90.00
_space_group_name_H-M_alt 'P 1'
_space_group_IT_number 1
loop_
_space_group_symop_operation_xyz
'x,y,z'
loop_
_atom_site_label
_atom_site_fract_x
_atom_site_fract_y
_atom_site_fract_z
Cu1 0.849 0.000 0.087
Cu2 0.849 0.500 0.587
Sb1 0.662 0.000 0.374
Sb2 0.662 0.500 0.874
Te1 0.147 0.000 0.685
Te2 0.147 0.500 0.185
H1 0.312 0.000 0.521
H2 0.312 0.500 0.021
```

---

(P) has the most favorable energy; the next structure is 6.6 kJ/mol of atoms above.

---

(P)
The following is a PBE calculation of a relaxed structure of CuSb2TeH, from the Alexandria database.

Structure (CIF):
```
data_CuSb2TeH
_chemical_formula_sum 'Cu1 Sb2 Te1 H1'
_cell_length_a 5.106
_cell_length_b 5.106
_cell_length_c 5.254
_cell_angle_alpha 90.00
_cell_angle_beta 90.00
_cell_angle_gamma 90.00
_space_group_name_H-M_alt 'P 1'
_space_group_IT_number 1
loop_
_space_group_symop_operation_xyz
'x,y,z'
loop_
_atom_site_label
_atom_site_fract_x
_atom_site_fract_y
_atom_site_fract_z
Sb1 0.000 0.500 0.000
Sb2 0.500 0.000 0.000
Te1 0.000 0.000 0.500
Cu1 0.000 0.000 0.000
H1 0.500 0.500 0.500
```

---

(Q)
The following is a PBE calculation of a relaxed structure of CuSb2TeH, from the Alexandria database.

Structure (CIF):
```
data_CuSb2TeH
_chemical_formula_sum 'Cu1 Sb2 Te1 H1'
_cell_length_a 4.343
_cell_length_b 4.343
_cell_length_c 5.589
_cell_angle_alpha 90.00
_cell_angle_beta 90.00
_cell_angle_gamma 90.00
_space_group_name_H-M_alt 'P 1'
_space_group_IT_number 1
loop_
_space_group_symop_operation_xyz
'x,y,z'
loop_
_atom_site_label
_atom_site_fract_x
_atom_site_fract_y
_atom_site_fract_z
Sb1 0.000 0.500 0.000
Sb2 0.500 0.000 0.000
Te1 0.000 0.000 0.500
Cu1 0.500 0.500 0.500
H1 0.000 0.000 0.000
```

---

(Q) has the most favorable energy; the next structure is 24.6 kJ/mol of atoms above.

---

(P)
The following is a PBE calculation of a relaxed structure of Sc2CuH, from the Alexandria database.

Structure (CIF):
```
data_Sc2CuH
_chemical_formula_sum 'Sc2 Cu1 H1'
_cell_length_a 4.466
_cell_length_b 4.466
_cell_length_c 4.466
_cell_angle_alpha 60.00
_cell_angle_beta 60.00
_cell_angle_gamma 60.00
_space_group_name_H-M_alt 'P 1'
_space_group_IT_number 1
loop_
_space_group_symop_operation_xyz
'x,y,z'
loop_
_atom_site_label
_atom_site_fract_x
_atom_site_fract_y
_atom_site_fract_z
Sc1 0.250 0.250 0.250
Sc2 0.750 0.750 0.750
H1 0.000 0.000 0.000
Cu1 0.500 0.500 0.500
```

---

(Q)
The following is a PBE calculation of a relaxed structure of Sc2CuH, from the Alexandria database.

Structure (CIF):
```
data_Sc2CuH
_chemical_formula_sum 'Sc4 Cu2 H2'
_cell_length_a 6.065
_cell_length_b 6.065
_cell_length_c 5.495
_cell_angle_alpha 56.51
_cell_angle_beta 56.51
_cell_angle_gamma 90.00
_space_group_name_H-M_alt 'P 1'
_space_group_IT_number 1
loop_
_space_group_symop_operation_xyz
'x,y,z'
loop_
_atom_site_label
_atom_site_fract_x
_atom_site_fract_y
_atom_site_fract_z
Sc1 0.543 0.125 0.250
Sc2 0.207 0.625 0.250
Sc3 0.375 0.457 0.750
Sc4 0.875 0.793 0.750
H1 0.500 0.500 0.000
H2 0.250 0.750 0.500
Cu1 0.000 0.000 0.000
Cu2 0.750 0.250 0.500
```

---

(Q) has the most favorable energy; the next structure is 25.4 kJ/mol of atoms above.

---

(P)
The following is a PBE calculation of a relaxed structure of ScCuH, from the Alexandria database.

Structure (CIF):
```
data_ScCuH
_chemical_formula_sum 'Sc2 Cu2 H2'
_cell_length_a 3.253
_cell_length_b 3.253
_cell_length_c 6.928
_cell_angle_alpha 90.00
_cell_angle_beta 90.00
_cell_angle_gamma 90.00
_space_group_name_H-M_alt 'P 1'
_space_group_IT_number 1
loop_
_space_group_symop_operation_xyz
'x,y,z'
loop_
_atom_site_label
_atom_site_fract_x
_atom_site_fract_y
_atom_site_fract_z
Sc1 0.250 0.250 0.677
Sc2 0.750 0.750 0.323
Cu1 0.250 0.250 0.084
Cu2 0.750 0.750 0.916
H1 0.750 0.250 0.500
H2 0.250 0.750 0.500
```

---

(Q)
The following is a PBE calculation of a relaxed structure of ScCuH, from the Alexandria database.

Structure (CIF):
```
data_ScCuH
_chemical_formula_sum 'Sc2 Cu2 H2'
_cell_length_a 3.321
_cell_length_b 3.226
_cell_length_c 6.791
_cell_angle_alpha 90.00
_cell_angle_beta 90.00
_cell_angle_gamma 90.00
_space_group_name_H-M_alt 'P 1'
_space_group_IT_number 1
loop_
_space_group_symop_operation_xyz
'x,y,z'
loop_
_atom_site_label
_atom_site_fract_x
_atom_site_fract_y
_atom_site_fract_z
Sc1 0.500 0.500 0.816
Sc2 0.000 0.000 0.475
Cu1 0.500 0.500 0.218
Cu2 0.000 0.000 0.055
H1 0.500 0.500 0.471
H2 0.000 0.500 0.652
```

---

(P) has the most favorable energy; the next structure is 9.1 kJ/mol of atoms above.

---

(P)
The following is a PBE calculation of a relaxed structure of Y2ScCuH, from the Alexandria database.

Structure (CIF):
```
data_Y2ScCuH
_chemical_formula_sum 'Y2 Sc1 Cu1 H1'
_cell_length_a 4.899
_cell_length_b 4.899
_cell_length_c 4.145
_cell_angle_alpha 90.00
_cell_angle_beta 90.00
_cell_angle_gamma 90.00
_space_group_name_H-M_alt 'P 1'
_space_group_IT_number 1
loop_
_space_group_symop_operation_xyz
'x,y,z'
loop_
_atom_site_label
_atom_site_fract_x
_atom_site_fract_y
_atom_site_fract_z
Y1 0.000 0.500 0.000
Y2 0.500 0.000 0.000
Sc1 0.000 0.000 0.500
Cu1 0.500 0.500 0.500
H1 0.000 0.000 0.000
```

---

(Q)
The following is a PBE calculation of a relaxed structure of Y2ScCuH, from the Alexandria database.

Structure (CIF):
```
data_Y2ScCuH
_chemical_formula_sum 'Y2 Sc1 Cu1 H1'
_cell_length_a 5.607
_cell_length_b 3.570
_cell_length_c 5.607
_cell_angle_alpha 90.00
_cell_angle_beta 90.00
_cell_angle_gamma 90.00
_space_group_name_H-M_alt 'P 1'
_space_group_IT_number 1
loop_
_space_group_symop_operation_xyz
'x,y,z'
loop_
_atom_site_label
_atom_site_fract_x
_atom_site_fract_y
_atom_site_fract_z
Y1 0.000 0.000 0.500
Y2 0.500 0.000 0.000
Sc1 0.000 0.000 0.000
Cu1 0.500 0.500 0.500
H1 0.000 0.500 0.000
```

---

(P) has the most favorable energy; the next structure is 60.2 kJ/mol of atoms above.